(1)
DFT (PBE-GGA) results for a geometry-optimized Nd5Y4Tl4 structure.

Computed properties:
DOS at the Fermi energy ... 14.75 states/eV/cell
Energy relative to the elements ... -260.0 meV/atom
Crystal system ... tetragonal
Space group ... I4/m
Electronic total energy ... -62.54 eV per formula unit

a = 5.1326 Å, b = 9.2743 Å, c = 9.2743 Å
α = 85.61°, β = 73.94°, γ = 73.94°
Closest atoms and distances in Å follow each position.
Fractional coordinates of all 13 atoms:
Nd (0.6903, 0.9130, 0.7064)  3 Tl 3.28-3.31, 2 Y 3.64
Nd (0.3097, 0.0870, 0.2936)  3 Tl 3.28-3.31, 2 Y 3.64
Nd (0.0000, 0.0000, 0.0000)  4 Tl 3.26
Nd (0.6033, 0.7064, 0.0870)  3 Tl 3.28-3.31, 2 Y 3.64
Nd (0.3967, 0.2936, 0.9130)  3 Tl 3.28-3.31, 2 Y 3.64
Y (0.9062, 0.4889, 0.6988)  3 Tl 3.15-3.33
Y (0.6049, 0.3012, 0.4889)  3 Tl 3.15-3.33
Y (0.0938, 0.5111, 0.3012)  3 Tl 3.15-3.33
Y (0.3951, 0.6988, 0.5111)  3 Tl 3.15-3.33
Tl (0.7619, 0.3385, 0.1376)  3 Y 3.15-3.33, 4 Nd 3.26-3.31
Tl (0.2381, 0.6615, 0.8624)  3 Y 3.15-3.33, 4 Nd 3.26-3.31
Tl (0.8996, 0.8624, 0.3385)  3 Y 3.15-3.33, 4 Nd 3.26-3.31
Tl (0.1004, 0.1376, 0.6615)  3 Y 3.15-3.33, 4 Nd 3.26-3.31

=====

(2)
DFT (PBE-GGA) results for a geometry-optimized NdY2Tl structure.

Computed properties:
DOS at the Fermi energy ... 5.61 states/eV/cell
Energy relative to the elements ... -31.6 meV/atom
Crystal system ... cubic
Space group ... Fm-3m
Distance to the lowest polymorph of the same formula ... 0.165 eV per atom
Electronic total energy ... -20.19 eV per formula unit

a = 5.5250 Å, b = 5.5250 Å, c = 5.5250 Å
α = 60.00°, β = 60.00°, γ = 60.00°
Closest atoms and distances in Å follow each position.
Fractional coordinates of all 4 atoms:
Y (0.2500, 0.2500, 0.2500)  4 Tl 3.38, 4 Nd 3.38
Y (0.7500, 0.7500, 0.7500)  4 Nd 3.38, 4 Tl 3.38
Tl (0.5000, 0.5000, 0.5000)  8 Y 3.38
Nd (0.0000, 0.0000, 0.0000)  8 Y 3.38

=====

(3)
DFT (PBE-GGA) results for a geometry-optimized NdY5Tl4 structure.

Computed properties:
DOS at the Fermi energy ... 8.31 states/eV/cell
Energy relative to the elements ... -301.1 meV/atom
Crystal system ... tetragonal
Space group ... P4/mmm
Electronic total energy ... -49.56 eV per formula unit

a = 3.6297 Å, b = 3.6297 Å, c = 21.8616 Å
α = 90.00°, β = 90.00°, γ = 90.00°
Closest atoms and distances in Å follow each position.
Fractional coordinates of all 10 atoms:
Nd (0.0000, 0.0000, 0.0000)  4 Nd 3.63, 8 Y 3.64
Y (0.5000, 0.5000, 0.1180)  4 Tl 3.29, 4 Y 3.63, 4 Nd 3.64
Y (0.5000, 0.5000, 0.3081)  8 Tl 3.31-3.32, 4 Y 3.63
Y (0.5000, 0.5000, 0.5000)  8 Tl 3.31, 4 Y 3.63
Y (0.5000, 0.5000, 0.6919)  8 Tl 3.31-3.32, 4 Y 3.63
Y (0.5000, 0.5000, 0.8820)  4 Tl 3.29, 4 Y 3.63, 4 Nd 3.64
Tl (0.0000, 0.0000, 0.2123)  8 Y 3.29-3.31, 4 Tl 3.63
Tl (0.0000, 0.0000, 0.4042)  8 Y 3.31-3.32, 4 Tl 3.63
Tl (0.0000, 0.0000, 0.5958)  8 Y 3.31-3.32, 4 Tl 3.63
Tl (0.0000, 0.0000, 0.7877)  8 Y 3.29-3.31, 4 Tl 3.63